Record 1
RbReSi2Ag PBE optimized geometry; total energy = -2.31 eV/atom; spin magnetization = 0.3 μB/cell; crystal system = tetragonal
1.0
5.158 0.000 0.000
0.000 5.158 0.000
0.000 0.000 5.036
Rb Re Si Ag
1 1 2 1
direct
0.000 0.000 0.000
0.500 0.500 0.500
0.000 0.500 0.000
0.500 0.000 0.000
0.000 0.000 0.500

Record 2
RbTi2AgI8 PBE optimized geometry; total energy = -3.38 eV/atom; spin magnetization = 2.0 μB/cell; crystal system = trigonal
1.0
7.580 0.000 0.000
-3.790 6.564 0.000
0.000 0.000 10.664
Rb Ti Ag I
1 2 1 8
direct
0.000 0.000 0.000
0.333 0.667 0.747
0.667 0.333 0.253
0.000 0.000 0.500
0.006 0.326 0.674
0.319 0.994 0.674
0.326 0.319 0.326
0.333 0.667 0.994
0.667 0.333 0.006
0.674 0.681 0.674
0.681 0.006 0.326
0.994 0.674 0.326

Record 3
DyTm3Se4 PBE optimized geometry; energy above the most stable polymorph in this dataset = 0.000 eV per atom; spin magnetization = 0.0 μB/cell; crystal system = monoclinic
1.0
7.028 0.000 0.000
0.000 7.971 0.000
-2.299 0.000 6.609
Dy Tm Se
2 6 8
direct
0.000 0.124 0.250
0.000 0.876 0.750
0.000 0.374 0.750
0.000 0.626 0.250
0.500 0.124 0.750
0.500 0.374 0.250
0.500 0.626 0.750
0.500 0.876 0.250
0.252 0.377 0.502
0.252 0.623 0.002
0.254 0.127 0.000
0.254 0.873 0.500
0.746 0.127 0.500
0.746 0.873 0.000
0.748 0.377 0.998
0.748 0.623 0.498